[1]
A plane-wave DFT calculation with PBE was carried out for a relaxed CdOsRu3 crystal.

The formation energy comes out at 1.492 eV per atom. For the excess energy over the best structure of this formula in the dataset, the calculation gives 0 meV per atom. For the density of states at the Fermi level, the calculation gives 5.578 states/eV per cell. As for the crystal system: cubic.

The space group is Pm-3m (No. 221) and the conventional cell measures 4.692, 4.692 and 4.692 Å, with angles of 90.00, 90.00 and 90.00 degrees. The asymmetric unit holds Cd at (0.000, 0.000, 0.000), Os at (0.500, 0.500, 0.500) and Ru at (0.000, 0.500, 0.500).



[2]
A plane-wave DFT calculation with PBE was carried out for a relaxed CdOsRu2 crystal.

The formation energy comes out at 0.349 eV per atom. For the density of states at the Fermi level, the calculation gives 4.206 states/eV per cell. As for the crystal system: monoclinic.

The space group is P2/m (No. 10) and the conventional cell measures 2.768, 3.785 and 5.932 Å, with angles of 90.00, 90.09 and 90.00 degrees. The asymmetric unit holds Cd at (0.000, 0.000, 0.000), Os at (0.000, 0.000, 0.500) and Ru at (0.500, 0.500, 0.279).